VASP calculation (SCAN) on a PBEsol-optimized structure of Re2P.

Lattice parameters (Å, degrees): 3.0052 5.7074 9.9392 90.00 90.00 90.00
Fractional positions:
P 0.7500 0.9929 0.6351
P 0.2500 0.5071 0.1351
P 0.2500 0.0071 0.3649
P 0.7500 0.4929 0.8649
Re 0.7500 0.3212 0.4849
Re 0.2500 0.1788 0.9849
Re 0.2500 0.6788 0.5151
Re 0.7500 0.8212 0.0151
Re 0.7500 0.6855 0.2893
Re 0.2500 0.8145 0.7893
Re 0.2500 0.3145 0.7107
Re 0.7500 0.1855 0.2107

The formation energy from the elements is -78 meV per atom. As for the density of states at the Fermi level: 1.48 states/eV/f.u. As for the total energy: -50.94 eV per atom. As for the space group: Pnma (62).